! Tm12Tl2Pb5, relaxed, DFT PBE; values from VASP
! - Raw total energy: -79.13 eV for the cell shown
! - Energy of formation: -2.67 kcal/mol of atoms
&SYSTEM
  ibrav = 0, nat = 19, ntyp = 3
/
ATOMIC_SPECIES
Tm 168.93 Tm.upf
Pb 207.20 Pb.upf
Tl 204.38 Tl.upf
ATOMIC_POSITIONS crystal
Tm 0.4304 0.3560 0.0970
Tm 0.4864 0.9727 0.7167
Tm 0.9050 0.8101 0.1858
Tm 0.5914 0.7092 0.4438
Tm 0.8822 0.2908 0.5562
Tm 0.5696 0.6440 0.9030
Tm 0.0745 0.6440 0.9030
Tm 0.9255 0.3560 0.0970
Tm 0.5136 0.0273 0.2833
Tm 0.4086 0.2908 0.5562
Tm 0.0950 0.1899 0.8142
Tm 0.1178 0.7092 0.4438
Pb 0.0000 0.0000 0.5000
Pb 0.6690 0.3380 0.8201
Pb 0.2903 0.5806 0.6526
Pb 0.7097 0.4194 0.3474
Pb 0.3310 0.6620 0.1799
Tl 0.2444 0.0000 0.0000
Tl 0.7556 0.0000 0.0000
CELL_PARAMETERS angstrom
7.0214 0.0000 0.0000
-3.5107 8.5122 0.5156
0.0000 -2.4683 9.8843

---

! Tm8TlPb5, relaxed, DFT PBE; values from VASP
! - Raw total energy: -62.78 eV for the cell shown
! - Energy of formation: -10.05 kcal/mol of atoms
&SYSTEM
  ibrav = 0, nat = 14, ntyp = 3
/
ATOMIC_SPECIES
Pb 207.20 Pb.upf
Tm 168.93 Tm.upf
Tl 204.38 Tl.upf
ATOMIC_POSITIONS crystal
Pb 0.5000 0.0000 0.5000
Pb 0.3759 0.1258 0.0012
Pb 0.8754 0.8742 0.2501
Pb 0.9988 0.3747 0.1246
Pb 0.7499 0.6253 0.6241
Tm 0.4804 0.6068 0.2303
Tm 0.1264 0.7493 0.0164
Tm 0.6235 0.3932 0.8736
Tm 0.6229 0.8900 0.8736
Tm 0.1264 0.7499 0.5196
Tm 0.9836 0.1100 0.7329
Tm 0.7697 0.2501 0.3765
Tm 0.2671 0.2507 0.3771
Tl 0.2500 0.5000 0.7500
CELL_PARAMETERS angstrom
-6.3426 3.2048 3.7528
-0.3269 -8.0113 0.5424
6.7594 2.6495 3.4457

---

! Tm4TlPb5, relaxed, DFT PBE; values from VASP
! - Raw total energy: -40.21 eV for the cell shown
! - Energy of formation: -3.26 kcal/mol of atoms
! - Excess energy over the best structure of this formula in the dataset: 1.15 eV/f.u.
&SYSTEM
  ibrav = 0, nat = 10, ntyp = 3
/
ATOMIC_SPECIES
Tm 168.93 Tm.upf
Pb 207.20 Pb.upf
Tl 204.38 Tl.upf
ATOMIC_POSITIONS crystal
Tm 0.5489 0.5885 0.2113
Tm 0.1374 0.2113 0.4115
Tm 0.3487 0.4115 0.7887
Tm 0.7602 0.7887 0.5885
Pb 0.0556 0.6040 0.1852
Pb 0.8449 0.3960 0.8148
Pb 0.7054 0.0000 0.0000
Pb 0.2408 0.8148 0.6040
Pb 0.6597 0.1852 0.3960
Tl 0.2087 0.0000 0.0000
CELL_PARAMETERS angstrom
-3.0981 -4.5285 -3.1918
3.6562 -6.6756 -0.3896
-4.6277 -4.2928 4.2706

---

! TmTl2Pb2, relaxed, DFT PBE; values from VASP
! - Raw total energy: -34.43 eV for the cell shown
! - Energy of formation: -2.73 kcal/mol of atoms
! - Excess energy over the best structure of this formula in the dataset: 0.00 eV/f.u.
&SYSTEM
  ibrav = 0, nat = 10, ntyp = 3
/
ATOMIC_SPECIES
Tl 204.38 Tl.upf
Pb 207.20 Pb.upf
Tm 168.93 Tm.upf
ATOMIC_POSITIONS crystal
Tl 0.0520 0.7500 0.1040
Tl 0.9480 0.2500 0.8960
Tl 0.5511 0.2500 0.1021
Tl 0.4489 0.7500 0.8979
Pb 0.8535 0.7500 0.7070
Pb 0.2491 0.7500 0.4983
Pb 0.1465 0.2500 0.2930
Pb 0.7509 0.2500 0.5017
Tm 0.6525 0.7500 0.3050
Tm 0.3475 0.2500 0.6950
CELL_PARAMETERS angstrom
-3.7932 -2.6055 -0.6331
1.4723 -2.9346 3.2561
-4.6073 8.4840 9.7295

---

! YTmTlPb, relaxed, DFT PBE; values from VASP
! - Raw total energy: -18.52 eV for the cell shown
! - Energy of formation: -8.68 kcal/mol of atoms
! - Excess energy over the best structure of this formula in the dataset: 0.00 eV/f.u.
&SYSTEM
  ibrav = 0, nat = 4, ntyp = 4
/
ATOMIC_SPECIES
Pb 207.20 Pb.upf
Y 88.91 Y.upf
Tl 204.38 Tl.upf
Tm 168.93 Tm.upf
ATOMIC_POSITIONS crystal
Pb 0.5000 0.4999 0.0000
Y 0.7500 0.2501 0.5000
Tl 0.0000 0.9999 0.0000
Tm 0.2500 0.7501 0.5000
CELL_PARAMETERS angstrom
4.9944 0.0000 0.0000
0.0000 4.9943 0.0008
-2.4972 -2.4970 4.3894

---

! YTmTlPb, relaxed, DFT PBE; values from VASP
! - Raw total energy: -18.37 eV for the cell shown
! - Energy of formation: -7.83 kcal/mol of atoms
! - Excess energy over the best structure of this formula in the dataset: 0.15 eV/f.u.
&SYSTEM
  ibrav = 0, nat = 4, ntyp = 4
/
ATOMIC_SPECIES
Y 88.91 Y.upf
Tm 168.93 Tm.upf
Pb 207.20 Pb.upf
Tl 204.38 Tl.upf
ATOMIC_POSITIONS crystal
Y 0.7500 0.7500 0.7500
Tm 0.2500 0.2500 0.2500
Pb 0.5000 0.5000 0.5000
Tl 0.0000 0.0000 0.0000
CELL_PARAMETERS angstrom
-0.8115 -1.5115 -5.1091
-2.9720 -4.3644 -1.0793
-4.8766 0.5444 -2.2290

---

! UTlPb2, relaxed, DFT PBE; values from VASP
! - Raw total energy: -20.15 eV for the cell shown
! - Energy of formation: 5.30 kcal/mol of atoms
! - Excess energy over the best structure of this formula in the dataset: 0.27 eV/f.u.
&SYSTEM
  ibrav = 0, nat = 4, ntyp = 3
/
ATOMIC_SPECIES
Pb 207.20 Pb.upf
U 238.03 U.upf
Tl 204.38 Tl.upf
ATOMIC_POSITIONS crystal
Pb 0.9107 0.9107 0.2680
Pb 0.0893 0.0893 0.7320
U 0.5000 0.5000 0.5000
Tl 0.0000 0.0000 0.0000
CELL_PARAMETERS angstrom
-3.1714 -0.2448 0.7298
-1.9673 -1.8197 -1.8625
0.6995 -10.6176 6.7755

---

! UTlPb2, relaxed, DFT PBE; values from VASP
! - Raw total energy: -20.42 eV for the cell shown
! - Energy of formation: 3.74 kcal/mol of atoms
! - Excess energy over the best structure of this formula in the dataset: 0.00 eV/f.u.
&SYSTEM
  ibrav = 0, nat = 4, ntyp = 3
/
ATOMIC_SPECIES
Pb 207.20 Pb.upf
Tl 204.38 Tl.upf
U 238.03 U.upf
ATOMIC_POSITIONS crystal
Pb 0.0000 0.0000 0.5000
Pb 0.0000 0.5000 0.0000
Tl 0.5000 0.5000 0.5000
U 0.5000 0.0000 0.0000
CELL_PARAMETERS angstrom
-1.1277 -4.4230 -0.8520
0.8761 -1.1219 4.6644
-4.6490 0.9721 1.1070

---

! UTl2Pb, relaxed, DFT PBE; values from VASP
! - Raw total energy: -18.96 eV for the cell shown
! - Energy of formation: 4.44 kcal/mol of atoms
&SYSTEM
  ibrav = 0, nat = 4, ntyp = 3
/
ATOMIC_SPECIES
U 238.03 U.upf
Tl 204.38 Tl.upf
Pb 207.20 Pb.upf
ATOMIC_POSITIONS crystal
U 0.5000 0.0000 0.0000
Tl 0.0000 0.5000 0.0000
Tl 0.0000 0.0000 0.5000
Pb 0.5000 0.5000 0.5000
CELL_PARAMETERS angstrom
4.9708 0.0000 0.0000
0.0000 4.6765 0.0000
0.0000 0.0000 4.6765

---

! Tl2VPb2, relaxed, DFT PBE; values from VASP
! - Raw total energy: -37.72 eV for the cell shown
! - Energy of formation: 11.12 kcal/mol of atoms
&SYSTEM
  ibrav = 0, nat = 10, ntyp = 3
/
ATOMIC_SPECIES
V 50.94 V.upf
Pb 207.20 Pb.upf
Tl 204.38 Tl.upf
ATOMIC_POSITIONS crystal
V 0.5000 0.5000 0.0000
V 0.0000 0.0000 0.0000
Pb 0.8350 0.3350 0.5000
Pb 0.6650 0.8350 0.5000
Pb 0.3350 0.1650 0.5000
Pb 0.1650 0.6650 0.5000
Tl 0.3505 0.8505 0.0000
Tl 0.8505 0.6495 0.0000
Tl 0.1495 0.3505 0.0000
Tl 0.6495 0.1495 0.0000
CELL_PARAMETERS angstrom
7.5407 0.0000 0.0000
0.0000 7.5407 0.0000
0.0000 0.0000 5.0526

---

! Tl2VPb, relaxed, DFT PBE; values from VASP
! - Raw total energy: -30.59 eV for the cell shown
! - Energy of formation: 13.05 kcal/mol of atoms
! - Excess energy over the best structure of this formula in the dataset: 0.14 eV/f.u.
&SYSTEM
  ibrav = 0, nat = 8, ntyp = 3
/
ATOMIC_SPECIES
Tl 204.38 Tl.upf
V 50.94 V.upf
Pb 207.20 Pb.upf
ATOMIC_POSITIONS crystal
Tl 0.3750 0.4264 0.7500
Tl 0.5736 0.1250 0.2500
Tl 0.8750 0.8236 0.7500
Tl 0.1764 0.6250 0.2500
V 0.5000 0.5000 0.0000
V 0.2500 0.7500 0.5000
Pb 0.0000 0.0000 0.0000
Pb 0.7500 0.2500 0.5000
CELL_PARAMETERS angstrom
8.6869 0.0000 0.0000
0.0000 8.6869 0.0000
4.3434 4.3434 2.9309

---

! TlV3Pb, relaxed, DFT PBE; values from VASP
! - Raw total energy: -25.58 eV for the cell shown
! - Energy of formation: 36.20 kcal/mol of atoms
! - Excess energy over the best structure of this formula in the dataset: 0.00 eV/f.u.
&SYSTEM
  ibrav = 0, nat = 5, ntyp = 3
/
ATOMIC_SPECIES
Tl 204.38 Tl.upf
Pb 207.20 Pb.upf
V 50.94 V.upf
ATOMIC_POSITIONS crystal
Tl 0.0000 0.0000 0.0000
Pb 0.5000 0.5000 0.5000
V 0.0000 0.0000 0.5000
V 0.5000 0.0000 0.0000
V 0.0000 0.5000 0.0000
CELL_PARAMETERS angstrom
-4.0719 -1.0104 2.8363
2.9708 -0.5724 4.0611
-0.4897 4.9292 1.0530

---

! Tl2VPb, relaxed, DFT PBE; values from VASP
! - Raw total energy: -15.44 eV for the cell shown
! - Energy of formation: 12.24 kcal/mol of atoms
! - Excess energy over the best structure of this formula in the dataset: 0.00 eV/f.u.
&SYSTEM
  ibrav = 0, nat = 4, ntyp = 3
/
ATOMIC_SPECIES
V 50.94 V.upf
Tl 204.38 Tl.upf
Pb 207.20 Pb.upf
ATOMIC_POSITIONS crystal
V 0.0000 0.0000 0.0000
Tl 0.2500 0.2500 0.2500
Tl 0.7500 0.7500 0.7500
Pb 0.5000 0.5000 0.5000
CELL_PARAMETERS angstrom
5.0121 -0.5781 1.6485
1.2450 -3.8827 3.3981
2.8737 -4.1477 -1.6466

---

! TlV2PbW, relaxed, DFT PBE; values from VASP
! - Raw total energy: -27.17 eV for the cell shown
! - Energy of formation: 46.57 kcal/mol of atoms
&SYSTEM
  ibrav = 0, nat = 5, ntyp = 4
/
ATOMIC_SPECIES
V 50.94 V.upf
Pb 207.20 Pb.upf
Tl 204.38 Tl.upf
W 183.84 W.upf
ATOMIC_POSITIONS crystal
V 0.0000 0.0000 0.5000
V 0.5000 0.0000 0.0000
Pb 0.0000 0.0000 0.0000
Tl 0.5000 0.5000 0.5000
W 0.0000 0.5000 0.0000
CELL_PARAMETERS angstrom
5.1588 0.0000 0.0000
0.0000 5.1931 0.0000
0.0000 0.0000 5.1588

---

! ZrTl2VPb, relaxed, DFT PBE; values from VASP
! - Raw total energy: -21.35 eV for the cell shown
! - Energy of formation: 21.94 kcal/mol of atoms
&SYSTEM
  ibrav = 0, nat = 5, ntyp = 4
/
ATOMIC_SPECIES
Tl 204.38 Tl.upf
V 50.94 V.upf
Zr 91.22 Zr.upf
Pb 207.20 Pb.upf
ATOMIC_POSITIONS crystal
Tl 0.5000 0.0000 0.0000
Tl 0.0000 0.0000 0.5000
V 0.0000 0.5000 0.0000
Zr 0.0000 0.0000 0.0000
Pb 0.5000 0.5000 0.5000
CELL_PARAMETERS angstrom
-1.6477 -5.3206 -1.0099
2.6322 0.0663 -4.6436
4.6409 -1.9313 2.6031

---

! TlPb2W, relaxed, DFT PBE; values from VASP
! - Raw total energy: -18.67 eV for the cell shown
! - Energy of formation: 23.47 kcal/mol of atoms
! - Excess energy over the best structure of this formula in the dataset: 1.55 eV/f.u.
&SYSTEM
  ibrav = 0, nat = 4, ntyp = 3
/
ATOMIC_SPECIES
Pb 207.20 Pb.upf
W 183.84 W.upf
Tl 204.38 Tl.upf
ATOMIC_POSITIONS crystal
Pb 0.0000 0.0000 0.0000
Pb 0.5000 0.5000 0.0000
W 0.0000 0.0000 0.5000
Tl 0.5000 0.5000 0.5000
CELL_PARAMETERS angstrom
3.1341 0.0000 0.0000
0.0000 5.5987 0.0262
0.0000 3.8905 5.6250

---

! TlPb2W, relaxed, DFT PBE; values from VASP
! - Raw total energy: -18.49 eV for the cell shown
! - Energy of formation: 24.47 kcal/mol of atoms
! - Excess energy over the best structure of this formula in the dataset: 1.72 eV/f.u.
&SYSTEM
  ibrav = 0, nat = 4, ntyp = 3
/
ATOMIC_SPECIES
W 183.84 W.upf
Pb 207.20 Pb.upf
Tl 204.38 Tl.upf
ATOMIC_POSITIONS crystal
W 0.0000 0.5000 0.5000
Pb 0.0000 0.0000 0.0000
Pb 0.5000 0.5000 0.0000
Tl 0.5000 0.0000 0.5000
CELL_PARAMETERS angstrom
-1.7658 -0.7469 2.5994
0.8257 -5.3801 -0.9851
4.5507 0.1258 3.1274

---

! Tl3PbW, relaxed, DFT PBE; values from VASP
! - Raw total energy: -19.64 eV for the cell shown
! - Energy of formation: 19.00 kcal/mol of atoms
! - Excess energy over the best structure of this formula in the dataset: 0.00 eV/f.u.
&SYSTEM
  ibrav = 0, nat = 5, ntyp = 3
/
ATOMIC_SPECIES
Tl 204.38 Tl.upf
Pb 207.20 Pb.upf
W 183.84 W.upf
ATOMIC_POSITIONS crystal
Tl 0.0000 0.0000 0.5000
Tl 0.0000 0.5000 0.0000
Tl 0.5000 0.0000 0.0000
Pb 0.5000 0.5000 0.5000
W 0.0000 0.0000 0.0000
CELL_PARAMETERS angstrom
5.4245 0.0000 0.0000
0.0000 5.4245 0.0000
0.0000 0.0000 5.4245

---

! Tl2PbW, relaxed, DFT PBE; values from VASP
! - Raw total energy: -17.35 eV for the cell shown
! - Energy of formation: 23.29 kcal/mol of atoms
! - Excess energy over the best structure of this formula in the dataset: 1.35 eV/f.u.
&SYSTEM
  ibrav = 0, nat = 4, ntyp = 3
/
ATOMIC_SPECIES
Tl 204.38 Tl.upf
W 183.84 W.upf
Pb 207.20 Pb.upf
ATOMIC_POSITIONS crystal
Tl 0.0000 0.0000 0.0000
Tl 0.5000 0.5000 0.0000
W 0.5000 0.0000 0.5000
Pb 0.0000 0.5000 0.5000
CELL_PARAMETERS angstrom
-2.5504 0.5236 1.7892
-3.2102 -2.4066 -3.8715
0.7091 -4.8597 2.4329

---

! TlPbW2, relaxed, DFT PBE; values from VASP
! - Raw total energy: -27.08 eV for the cell shown
! - Energy of formation: 28.27 kcal/mol of atoms
! - Excess energy over the best structure of this formula in the dataset: 2.56 eV/f.u.
&SYSTEM
  ibrav = 0, nat = 4, ntyp = 3
/
ATOMIC_SPECIES
W 183.84 W.upf
Pb 207.20 Pb.upf
Tl 204.38 Tl.upf
ATOMIC_POSITIONS crystal
W 0.0000 0.0000 0.0000
W 0.5000 0.5000 0.0000
Pb 0.5000 0.0000 0.5000
Tl 0.0000 0.5000 0.5000
CELL_PARAMETERS angstrom
-0.0612 0.6928 3.2345
-1.4122 -4.7436 0.9893
4.6084 -1.2959 0.3648